Entry 1:
VASP calculation (PBE) on a relaxed structure of LaBS4.

Results
ΔE_f (raw)   -790 meV per atom
E_tot   -5.48 eV per atom
Density   3.3 g/cm³
Space group   Cmcm
Total magnetization   0.000 μB/atom

a = 5.5963 Å, b = 5.5963 Å, c = 9.0498 Å
α = 90.00°, β = 90.00°, γ = 100.61°
Last column: nearest neighbours and their distance in Å.
Fractional positions:
B (0.8445, 0.8445, 0.7500)  4 S 1.90-1.91
S (0.3106, 0.3106, 0.0784)  1 B 1.91
S (0.8062, 0.1743, 0.7500)  1 B 1.90
S (0.6894, 0.6894, 0.5784)  1 B 1.91
B (0.1555, 0.1555, 0.2500)  4 S 1.90-1.91
La (0.3346, 0.3346, 0.7500)  8 S 2.93-2.98
S (0.3106, 0.3106, 0.4216)  1 B 1.91
S (0.6894, 0.6894, 0.9216)  1 B 1.91
S (0.8257, 0.1938, 0.2500)  1 B 1.90
S (0.1743, 0.8062, 0.7500)  1 B 1.90
La (0.6654, 0.6654, 0.2500)  8 S 2.93-2.98
S (0.1938, 0.8257, 0.2500)  1 B 1.90


Entry 2:
VASP calculation (PBE) on a relaxed structure of LaB2SbS.

Results
ΔE_f (raw)   1949 meV per atom
E_tot   -3.36 eV per atom
Density   3.8 g/cm³
Space group   P4/mmm
Total magnetization   0.000 μB/atom

a = 4.6181 Å, b = 6.5240 Å, c = 4.6181 Å
α = 90.00°, β = 90.00°, γ = 90.00°
Last column: nearest neighbours and their distance in Å.
Fractional positions:
La (0.0000, 0.0000, 0.0000)  4 B 2.31
B (0.5000, 0.0000, 0.0000)  2 La 2.31
B (0.0000, 0.0000, 0.5000)  2 La 2.31
S (0.5000, 0.5000, 0.5000)  4 Sb 3.27
Sb (0.0000, 0.5000, 0.0000)  2 La 3.26, 4 S 3.27


Entry 3:
VASP calculation (PBE) on a relaxed structure of LaSc2BS.

Results
ΔE_f (raw)   1212 meV per atom
E_tot   -4.47 eV per atom
Density   3.6 g/cm³
Space group   P4/mmm
Total magnetization   0.000 μB/atom

a = 5.3734 Å, b = 4.2875 Å, c = 5.3734 Å
α = 90.00°, β = 90.00°, γ = 90.00°
Last column: nearest neighbours and their distance in Å.
Fractional positions:
Sc (0.0000, 0.0000, 0.5000)  2 La 2.69
B (0.0000, 0.5000, 0.0000)  2 La 2.14
Sc (0.5000, 0.0000, 0.0000)  2 La 2.69
La (0.0000, 0.0000, 0.0000)  2 B 2.14
S (0.5000, 0.5000, 0.5000)  8 Sc 3.44, 4 B 3.80


Entry 4:
VASP calculation (PBE) on a relaxed structure of LaBSb2.

Results
ΔE_f (raw)   -175 meV per atom
E_tot   -5.14 eV per atom
Density   6.5 g/cm³
Space group   I-42d
Total magnetization   0.000 μB/atom

a = 7.3532 Å, b = 7.3532 Å, c = 6.3829 Å
α = 54.83°, β = 54.83°, γ = 90.00°
Last column: nearest neighbours and their distance in Å.
Fractional positions:
Sb (0.8750, 0.7752, 0.7500)  2 B 2.34
La (0.0000, 0.0000, 0.0000)  8 Sb 3.29-3.51
Sb (0.2248, 0.6250, 0.2500)  2 B 2.34
Sb (0.5252, 0.1250, 0.2500)  2 B 2.34
B (0.5000, 0.5000, 0.0000)  4 Sb 2.34
La (0.7500, 0.2500, 0.5000)  8 Sb 3.29-3.51
Sb (0.3750, 0.4748, 0.7500)  2 B 2.34
B (0.2500, 0.7500, 0.5000)  4 Sb 2.34


Entry 5:
VASP calculation (PBE) on a relaxed structure of La2BSb.

Results
ΔE_f (raw)   -221 meV per atom
E above lowest polymorph   0 meV per atom
E_tot   -5.38 eV per atom
Density   6.0 g/cm³
Space group   I-42d
Total magnetization   0.000 μB/atom

a = 7.8206 Å, b = 7.8206 Å, c = 6.6580 Å
α = 54.03°, β = 54.03°, γ = 90.00°
Last column: nearest neighbours and their distance in Å.
Fractional positions:
La (0.5632, 0.1250, 0.2500)  2 B 2.62
B (0.2500, 0.7500, 0.5000)  4 La 2.62
Sb (0.0000, 0.0000, 0.0000)  4 La 3.26
La (0.3750, 0.4368, 0.7500)  2 B 2.62
Sb (0.7500, 0.2500, 0.5000)  4 La 3.26
La (0.1868, 0.6250, 0.2500)  2 B 2.62
B (0.5000, 0.5000, 0.0000)  4 La 2.62
La (0.8750, 0.8132, 0.7500)  2 B 2.62


Entry 6:
VASP calculation (PBE) on a relaxed structure of La2BSb.

Results
ΔE_f (raw)   -35 meV per atom
E above lowest polymorph   186 meV per atom
E_tot   -5.20 eV per atom
Density   6.5 g/cm³
Space group   Fm-3m
Total magnetization   0.000 μB/atom

a = 5.3015 Å, b = 5.3015 Å, c = 5.3015 Å
α = 60.00°, β = 60.00°, γ = 60.00°
Last column: nearest neighbours and their distance in Å.
Fractional positions:
La (0.7500, 0.7500, 0.7500)  4 Sb 3.25, 4 B 3.25
B (0.0000, 0.0000, 0.0000)  8 La 3.25
La (0.2500, 0.2500, 0.2500)  4 Sb 3.25, 4 B 3.25
Sb (0.5000, 0.5000, 0.5000)  8 La 3.25


Entry 7:
VASP calculation (PBE) on a relaxed structure of LaBSb3.

Results
ΔE_f (raw)   1474 meV per atom
E above lowest polymorph   1368 meV per atom
E_tot   -3.32 eV per atom
Density   3.9 g/cm³
Space group   Pm-3m
Total magnetization   0.000 μB/atom

a = 6.0386 Å, b = 6.0386 Å, c = 6.0386 Å
α = 90.00°, β = 90.00°, γ = 90.00°
Last column: nearest neighbours and their distance in Å.
Fractional positions:
B (0.5000, 0.5000, 0.5000)  12 Sb 4.27
La (0.0000, 0.0000, 0.0000)  6 Sb 3.02
Sb (0.0000, 0.0000, 0.5000)  2 La 3.02
Sb (0.5000, 0.0000, 0.0000)  2 La 3.02
Sb (0.0000, 0.5000, 0.0000)  2 La 3.02


Entry 8:
VASP calculation (PBE) on a relaxed structure of LaBSb3.

Results
ΔE_f (raw)   106 meV per atom
E above lowest polymorph   0 meV per atom
E_tot   -4.69 eV per atom
Density   6.9 g/cm³
Space group   Pm-3m
Total magnetization   0.000 μB/atom

a = 4.9845 Å, b = 4.9845 Å, c = 4.9845 Å
α = 90.00°, β = 90.00°, γ = 90.00°
Last column: nearest neighbours and their distance in Å.
Fractional positions:
La (0.5000, 0.5000, 0.5000)  12 Sb 3.52
B (0.0000, 0.0000, 0.0000)  6 Sb 2.49
Sb (0.0000, 0.5000, 0.0000)  2 B 2.49
Sb (0.5000, 0.0000, 0.0000)  2 B 2.49
Sb (0.0000, 0.0000, 0.5000)  2 B 2.49


Entry 9:
VASP calculation (PBE) on a relaxed structure of LaBSbTe2.

Results
ΔE_f (raw)   -63 meV per atom
E above lowest polymorph   0 meV per atom
E_tot   -4.47 eV per atom
Density   6.9 g/cm³
Space group   P4/mmm
Total magnetization   0.000 μB/atom

a = 5.1019 Å, b = 5.1019 Å, c = 4.8716 Å
α = 90.00°, β = 90.00°, γ = 90.00°
Last column: nearest neighbours and their distance in Å.
Fractional positions:
Te (0.0000, 0.5000, 0.0000)  2 B 2.55
Te (0.5000, 0.0000, 0.0000)  2 B 2.55
Sb (0.0000, 0.0000, 0.5000)  2 B 2.44
B (0.0000, 0.0000, 0.0000)  2 Sb 2.44, 4 Te 2.55
La (0.5000, 0.5000, 0.5000)  8 Te 3.53, 4 Sb 3.61


Entry 10:
VASP calculation (PBE) on a relaxed structure of LaBSbTe2.

Results
ΔE_f (raw)   1053 meV per atom
E above lowest polymorph   1115 meV per atom
E_tot   -3.35 eV per atom
Density   3.8 g/cm³
Space group   P4/mmm
Total magnetization   0.136 μB/atom

a = 6.1246 Å, b = 6.1246 Å, c = 6.1719 Å
α = 90.00°, β = 90.00°, γ = 90.00°
Last column: nearest neighbours and their distance in Å.
Fractional positions:
Sb (0.0000, 0.0000, 0.5000)  2 La 3.09
La (0.0000, 0.0000, 0.0000)  4 Te 3.06, 2 Sb 3.09
Te (0.5000, 0.0000, 0.0000)  2 La 3.06
Te (0.0000, 0.5000, 0.0000)  2 La 3.06
B (0.5000, 0.5000, 0.5000)  4 Sb 4.33, 8 Te 4.35


Entry 11:
VASP calculation (PBE) on a relaxed structure of LaZrBSb2.

Results
ΔE_f (raw)   -33 meV per atom
E_tot   -5.71 eV per atom
Density   6.7 g/cm³
Space group   P4/mmm
Total magnetization   0.000 μB/atom

a = 5.1459 Å, b = 4.5163 Å, c = 5.1459 Å
α = 90.00°, β = 90.00°, γ = 90.00°
Last column: nearest neighbours and their distance in Å.
Fractional positions:
Sb (0.0000, 0.0000, 0.5000)  2 B 2.57
La (0.5000, 0.5000, 0.5000)  8 Sb 3.42, 4 Zr 3.64
Sb (0.5000, 0.0000, 0.0000)  2 B 2.57
Zr (0.0000, 0.5000, 0.0000)  2 B 2.26
B (0.0000, 0.0000, 0.0000)  2 Zr 2.26


Entry 12:
VASP calculation (PBE) on a relaxed structure of LaSc3B.

Results
E above lowest polymorph   0 meV per atom
Energy of formation   -0.0160 eV per atom
E_tot   -6.14 eV per atom
Density   4.1 g/cm³
Space group   Pm-3m
Total magnetization   0.000 μB/atom

a = 4.8660 Å, b = 4.8660 Å, c = 4.8660 Å
α = 90.00°, β = 90.00°, γ = 90.00°
Last column: nearest neighbours and their distance in Å.
Fractional positions:
Sc (0.5000, 0.0000, 0.0000)  2 B 2.43
La (0.5000, 0.5000, 0.5000)  12 Sc 3.44
Sc (0.0000, 0.5000, 0.0000)  2 B 2.43
B (0.0000, 0.0000, 0.0000)  6 Sc 2.43
Sc (0.0000, 0.0000, 0.5000)  2 B 2.43


| no. | volume (Å³/atom) |
| --- | --- |
| 1 | 23.2 |
| 2 | 27.8 |
| 3 | 24.8 |
| 4 | 25.0 |
| 5 | 28.3 |
| 6 | 26.3 |
| 7 | 44.0 |
| 8 | 24.8 |
| 9 | 25.4 |
| 10 | 46.3 |
| 11 | 23.9 |
| 12 | 23.0 |